Entry 1:
The following is a PBE-GGA calculation of crystalline La2InHg6 at its relaxed geometry, from the Alexandria database.

Results
M_tot	0.00	μB/atom
ΔE_f	-0.377	eV/atom
E	-1.977	eV/atom

Unit cell a=9.0215 b=5.2100 c=10.0266 alpha=90.00 beta=90.10 gamma=90.00
With the nearest neighbours (Å) after each atom.
Space group C2/m (No. 12)
Inequivalent atoms, fractional coordinates:
La 0.1662 0.0000 0.2729 (multiplicity 4)  11 Hg 3.24-3.61
In 0.0000 0.5000 0.5000 (multiplicity 2)  8 Hg 3.18-3.49
Hg 0.0006 0.5000 0.8480 (multiplicity 4)  4 Hg 3.05-3.11, 3 La 3.24
Hg 0.1669 0.0000 0.6032 (multiplicity 4)  3 In 3.18, 1 Hg 3.24, 4 La 3.25-3.31
Hg 0.1672 0.0000 0.9260 (multiplicity 4)  7 Hg 3.11-3.36, 1 La 3.48

=====

Entry 2:
The following is a PBE-GGA calculation of crystalline TbPm3Dy4S8 at its relaxed geometry, from the Alexandria database.

Results
M_tot	0.00	μB/atom
E	-6.402	eV/atom
ΔE_f (raw)	-2.01	eV/atom

Unit cell a=7.8950 b=7.8950 c=19.4881 alpha=90.00 beta=90.00 gamma=120.00
With the nearest neighbours (Å) after each atom.
Space group R-3m (No. 166, hexagonal axes)
Inequivalent atoms, fractional coordinates:
Tb 0.0000 0.0000 0.0000 (multiplicity 3)  6 S 2.81
Pm 0.0000 0.5000 0.0000 (multiplicity 9)  6 S 2.85
Dy 0.0000 0.0000 0.5000 (multiplicity 3)  6 S 2.79
Dy 0.0000 0.5000 0.5000 (multiplicity 9)  6 S 2.75
S 0.0000 0.0000 0.2457 (multiplicity 6)  3 Dy 2.75, 3 Pm 2.85
S 0.0045 0.5023 0.7531 (multiplicity 18)  3 Dy 2.75-2.79, 1 Tb 2.81, 2 Pm 2.85

=====

Entry 3:
The following is a PBE-GGA calculation of crystalline PuP2Ir at its relaxed geometry, from the Alexandria database.

Results
M_tot	1.35	μB/atom
ΔE_f	-0.586	eV/atom
E	-9.090	eV/atom

Unit cell a=3.7481 b=5.6591 c=7.0814 alpha=90.00 beta=90.00 gamma=90.00
With the nearest neighbours (Å) after each atom.
Space group Amm2 (No. 38)
Inequivalent atoms, fractional coordinates:
Pu 0.0000 0.0000 0.0000 (multiplicity 2)  8 P 2.94-3.01
P 0.5000 0.1937 0.2945 (multiplicity 4)  1 P 2.19, 2 Ir 2.26-2.36
Ir 0.5000 0.0000 0.5889 (multiplicity 2)  4 P 2.26-2.36

=====

Entry 4:
The following is a PBE-GGA calculation of crystalline CsCaTiF6 at its relaxed geometry, from the Alexandria database.

Results
M_tot	0.11	μB/atom
E	-5.890	eV/atom
ΔE_f (raw)	-3.45	eV/atom

Unit cell a=7.8552 b=7.9491 c=10.8674 alpha=90.00 beta=90.00 gamma=90.00
With the nearest neighbours (Å) after each atom.
Space group Imma (No. 74)
Inequivalent atoms, fractional coordinates:
Cs 0.0000 0.2500 0.1164 (multiplicity 4)  5 F 3.13-3.35
Ca 0.0000 0.0000 0.5000 (multiplicity 4)  6 F 2.24-2.30
Ti 0.2500 0.2500 0.7500 (multiplicity 4)  6 F 1.98
F 0.0000 0.2500 0.4048 (multiplicity 4)  2 Ca 2.24
F 0.0000 0.2500 0.7729 (multiplicity 4)  2 Ti 1.98
F 0.2272 0.0744 0.6225 (multiplicity 16)  1 Ti 1.98

=====

Entry 5:
The following is a PBE-GGA calculation of crystalline CoCuSi2 at its relaxed geometry, from the Alexandria database.

Results
M_tot	0.00	μB/atom
E	-5.574	eV/atom
ΔE_f (raw)	-0.06	eV/atom

Unit cell a=3.7189 b=3.7189 c=6.7619 alpha=90.00 beta=90.00 gamma=90.00
With the nearest neighbours (Å) after each atom.
Space group I4/mmm (No. 139)
Inequivalent atoms, fractional coordinates:
Co 0.0000 0.0000 0.0000 (multiplicity 2)  8 Si 2.51, 4 Cu 2.63
Cu 0.0000 0.0000 0.5000 (multiplicity 2)  8 Si 2.51, 4 Co 2.63
Si 0.0000 0.5000 0.2500 (multiplicity 4)  4 Co 2.51, 4 Cu 2.51, 4 Si 2.63

=====

Entry 6:
The following is a PBE-GGA calculation of crystalline Pr6Sm12Cd at its relaxed geometry, from the Alexandria database.

Results
M_tot	0.00	μB/atom
ΔE_f	0.090	eV/atom
E	-4.448	eV/atom

Unit cell a=12.1723 b=12.1723 c=15.2236 alpha=90.00 beta=90.00 gamma=120.00
With the nearest neighbours (Å) after each atom.
Space group R-3 (No. 148, hexagonal axes)
Inequivalent atoms, fractional coordinates:
Pr 0.0173 0.4246 0.1877 (multiplicity 18)  7 Sm 3.42-3.73, 1 Cd 3.50, 2 Pr 3.54
Sm 0.0079 0.1755 0.3138 (multiplicity 18)  4 Pr 3.49-3.73, 1 Cd 3.52, 5 Sm 3.55-3.90
Sm 0.0491 0.8512 0.9162 (multiplicity 18)  4 Sm 3.35-3.74, 3 Pr 3.42-3.49
Cd 0.0000 0.0000 0.5000 (multiplicity 3)  6 Pr 3.50, 6 Sm 3.52

=====

Entry 7:
The following is a PBE-GGA calculation of crystalline Na3HfTc at its relaxed geometry, from the Alexandria database.

Results
distance to the lowest polymorph of the same formula	0.228	eV per atom
M_tot	0.03	μB/atom
ΔE_f	2.191	eV/atom
E	-2.664	eV/atom

Unit cell a=5.8185 b=5.8185 c=5.8185 alpha=90.00 beta=90.00 gamma=90.00
With the nearest neighbours (Å) after each atom.
Space group Pm-3m (No. 221)
Inequivalent atoms, fractional coordinates:
Na 0.0000 0.0000 0.5000 (multiplicity 3)  2 Hf 2.91
Hf 0.0000 0.0000 0.0000 (multiplicity 1)  6 Na 2.91
Tc 0.5000 0.5000 0.5000 (multiplicity 1)  12 Na 4.11

=====

Entry 8:
The following is a PBE-GGA calculation of crystalline TcSbAs2 at its relaxed geometry, from the Alexandria database.

Results
M_tot	0.00	μB/atom
E	-5.655	eV/atom
ΔE_f (raw)	0.29	eV/atom

Unit cell a=6.0545 b=6.0545 c=11.4180 alpha=90.00 beta=90.00 gamma=90.00
With the nearest neighbours (Å) after each atom.
Space group I-42d (No. 122)
Inequivalent atoms, fractional coordinates:
Tc 0.0000 0.0000 0.0000 (multiplicity 4)  4 As 2.39
Sb 0.0000 0.0000 0.5000 (multiplicity 4)  4 As 2.79
As 0.1942 0.2500 0.1250 (multiplicity 8)  2 Tc 2.39